Record 1
VASP calculation (PBE) on a relaxed BaPr2Ga2Ni4 crystal.

Results
* VASP energy: -0.3533 Ry/atom

Cell and atoms, written as CIF:
```
data_BaPr2Ga2Ni4
_chemical_formula_sum 'Ba2 Pr4 Ga4 Ni8'
_cell_length_a 10.869
_cell_length_b 4.173
_cell_length_c 8.291
_cell_angle_alpha 90.00
_cell_angle_beta 100.56
_cell_angle_gamma 90.00
_space_group_name_H-M_alt 'C 1 2/m 1'
_space_group_IT_number 12
_space_group_name_Hall '-C 2y'
loop_
_atom_site_label
_atom_site_type_symbol
_atom_site_fract_x
_atom_site_fract_y
_atom_site_fract_z
Ba1 Ba 0.000 0.000 0.000
Pr1 Pr 0.123 0.500 0.385
Ga1 Ga 0.181 0.500 0.778
Ni1 Ni 0.089 0.000 0.628
Ni2 Ni 0.245 0.500 0.089
```

Record 2
VASP calculation (PBE) on a relaxed GdMgB4 crystal.

Results
* energy relative to the lowest polymorph listed for this composition: 5.4 meV/atom
* VASP energy: -0.4232 Ry/atom

Cell and atoms, written as CIF:
```
data_GdMgB4
_chemical_formula_sum 'Gd1 Mg1 B4'
_cell_length_a 3.1911
_cell_length_b 3.1911
_cell_length_c 7.4235
_cell_angle_alpha 90.00
_cell_angle_beta 90.00
_cell_angle_gamma 120.00
_space_group_name_H-M_alt 'P 6/m m m'
_space_group_IT_number 191
_space_group_name_Hall '-P 6 2'
loop_
_atom_site_label
_atom_site_type_symbol
_atom_site_fract_x
_atom_site_fract_y
_atom_site_fract_z
Gd1 Gd 0.0000 0.0000 0.0000
Mg1 Mg 0.0000 0.0000 0.5000
B1 B 0.3333 0.6667 0.2672
```

Record 3
VASP calculation (PBE) on a relaxed Ba2TcHgS6 crystal.

Results
* VASP energy: -0.3458 Ry/atom

Cell and atoms, written as CIF:
```
data_Ba2TcHgS6
_chemical_formula_sum 'Ba4 Tc2 Hg2 S12'
_cell_length_a 11.896
_cell_length_b 6.413
_cell_length_c 8.183
_cell_angle_alpha 90.00
_cell_angle_beta 127.78
_cell_angle_gamma 90.00
_space_group_name_H-M_alt 'C 1 2/m 1'
_space_group_IT_number 12
_space_group_name_Hall '-C 2y'
loop_
_atom_site_label
_atom_site_type_symbol
_atom_site_fract_x
_atom_site_fract_y
_atom_site_fract_z
Ba1 Ba 0.244 0.000 0.263
Tc1 Tc 0.000 0.500 0.000
Hg1 Hg 0.000 0.000 0.500
S1 S 0.057 0.252 0.849
S2 S 0.245 0.500 0.344
```